{"formula": "RbBiN3", "functional": "GGA-PBE", "state": "relaxed", "lattice": [[-3.4444, 0.1910, -2.9157], [-2.9207, -0.3597, 3.4267], [-0.0873, 4.4984, 0.3978]], "species": ["Bi", "N", "N", "N", "Rb"], "frac_coords": [[0.0000, 0.0000, 0.0000], [0.0000, 0.5000, 0.0000], [0.0000, 0.0000, 0.5000], [0.5000, 0.0000, 0.0000], [0.5000, 0.5000, 0.5000]], "dos_ef_per_ev_atom": 0.49, "e_tot_ev_per_atom": -4.413, "formation_energy_uncorrected_mev_per_atom": 1552, "rho_g_cm3": 6.06, "crystal_system": "cubic", "vol_a3_per_cell": 92.2}